[1]
Crystalline K2Sm2TeO6 at its relaxed geometry, computed with PBE.

Results
raw formation energy: -24.3 eV per formula unit
density: 4.874 Mg/m³
DFT total energy: -6.2540 eV/atom
calculated volume: 18.7 Å³ per atom
space group: C2/m

Unit cell a=6.078 b=6.078 c=6.668 alpha=98.12 beta=98.12 gamma=119.74
Atoms (fractional coordinates):
1 K 0.838 0.162 0.000
2 K 0.162 0.838 0.000
3 Sm 0.335 0.665 0.500
4 Sm 0.665 0.335 0.500
5 Te 0.000 0.000 0.500
6 O 0.746 0.746 0.678
7 O 0.048 0.374 0.677
8 O 0.254 0.254 0.322
9 O 0.374 0.048 0.677
10 O 0.952 0.626 0.323
11 O 0.626 0.952 0.323

---

[2]
Crystalline Mg6IrPb2 at its relaxed geometry, computed with PBE.

Results
density: 6.214 Mg/m³
DFT total energy: -3.0607 eV/atom
calculated volume: 22.3 Å³ per atom
ΔH_f (0 K): -0.19 eV per atom
space group: P-62m

Unit cell a=3.515 b=8.128 c=8.127 alpha=120.00 beta=90.00 gamma=90.00
Atoms (fractional coordinates):
1 Mg 0.500 0.652 0.000
2 Mg 0.500 0.348 0.348
3 Mg 0.500 0.000 0.652
4 Mg 0.000 0.249 0.000
5 Mg 0.000 0.751 0.751
6 Mg 0.000 0.000 0.249
7 Ir 0.500 0.000 0.000
8 Pb 0.000 0.333 0.667
9 Pb 0.000 0.667 0.333

---

Copy entry 2 word for word.
Crystalline Mg6IrPb2 at its relaxed geometry, computed with PBE.

Results
density: 6.214 Mg/m³
DFT total energy: -3.0607 eV/atom
calculated volume: 22.3 Å³ per atom
ΔH_f (0 K): -0.19 eV per atom
space group: P-62m

Unit cell a=3.515 b=8.128 c=8.127 alpha=120.00 beta=90.00 gamma=90.00
Atoms (fractional coordinates):
1 Mg 0.500 0.652 0.000
2 Mg 0.500 0.348 0.348
3 Mg 0.500 0.000 0.652
4 Mg 0.000 0.249 0.000
5 Mg 0.000 0.751 0.751
6 Mg 0.000 0.000 0.249
7 Ir 0.500 0.000 0.000
8 Pb 0.000 0.333 0.667
9 Pb 0.000 0.667 0.333

---

Question: Which of these has the highest calculated volume?
Answer: Mg6IrPb2